Entry 1:
TbTmCu6 | GGA-PBE | relaxed

Its formation enthalpy at 0 K is -184 meV per atom.

abc: 4.3716 5.7527 5.1038
angles: 90.00 90.00 90.00
With the nearest neighbours (Å) after each atom.
Positions (direct):
Tb: 0.0000 0.0000 0.0000  12 Cu 2.87-3.00
Tm: 0.5000 0.5000 0.2738  12 Cu 2.84-2.95
Cu: 0.0000 0.2346 0.4972  6 Cu 2.53-2.70
Cu: 0.0000 0.5000 0.8934  6 Cu 2.53-2.60
Cu: 0.0000 0.7654 0.4972  6 Cu 2.53-2.70
Cu: 0.5000 0.0000 0.4039  6 Cu 2.49-2.61
Cu: 0.5000 0.2804 0.7752  6 Cu 2.49-2.62
Cu: 0.5000 0.7196 0.7752  6 Cu 2.49-2.62

Entry 2:
TbUCu | GGA-PBE | relaxed

For the distance to the lowest polymorph of the same formula, the calculation gives 0.000 eV/atom. Its formation enthalpy at 0 K is 649 meV per atom.

abc: 4.7267 4.7267 4.7267
angles: 60.00 60.00 60.00
With the nearest neighbours (Å) after each atom.
Positions (direct):
Tb: 0.0000 0.0000 0.0000  4 Cu 2.89
U: 0.5000 0.5000 0.5000  4 Cu 2.89
Cu: 0.2500 0.2500 0.2500  4 Tb 2.89, 4 U 2.89

Entry 3:
TbYCu2 | GGA-PBE | relaxed

Its formation enthalpy at 0 K is -247 meV per atom.

abc: 4.5131 5.4936 5.4936
angles: 39.54 90.00 90.00
With the nearest neighbours (Å) after each atom.
Positions (direct):
Tb: 0.0000 0.0000 0.0000  7 Cu 2.87-3.01
Y: 0.5000 0.7194 0.7194  7 Cu 2.87-3.01
Cu: 0.0000 0.2888 0.2888  2 Cu 2.69, 3 Tb 2.87-2.99, 4 Y 3.01
Cu: 0.5000 0.4311 0.4311  2 Cu 2.69, 3 Y 2.87-2.98, 4 Tb 3.01

Entry 4:
TbYCu | GGA-PBE | relaxed

Its formation enthalpy at 0 K is 718 meV per atom.

abc: 4.7843 4.7843 4.7843
angles: 60.00 60.00 60.00
With the nearest neighbours (Å) after each atom.
Positions (direct):
Tb: 0.0000 0.0000 0.0000  4 Y 2.93
Y: 0.7500 0.7500 0.7500  4 Tb 2.93, 4 Cu 2.93
Cu: 0.5000 0.5000 0.5000  4 Y 2.93

Entry 5:
TbYCu6 | GGA-PBE | relaxed

Its formation enthalpy at 0 K is -180 meV per atom.

abc: 4.2549 5.7424 5.3867
angles: 90.00 90.00 90.00
With the nearest neighbours (Å) after each atom.
Positions (direct):
Tb: 0.0000 0.0000 0.0000  12 Cu 2.95-3.01
Y: 0.5000 0.5000 0.7555  12 Cu 2.95-3.01
Cu: 0.0000 0.2217 0.5065  6 Cu 2.50-2.56
Cu: 0.0000 0.5000 0.1485  6 Cu 2.50-2.54
Cu: 0.0000 0.7783 0.5065  6 Cu 2.50-2.56
Cu: 0.5000 0.0000 0.6080  6 Cu 2.50-2.54
Cu: 0.5000 0.2779 0.2495  6 Cu 2.50-2.56
Cu: 0.5000 0.7221 0.2495  6 Cu 2.50-2.56

Entry 6:
Tb2Zn5Cu5 | GGA-PBE | relaxed

Its formation enthalpy at 0 K is -292 meV per atom.

abc: 4.1730 5.1488 8.8641
angles: 90.00 90.00 90.00
With the nearest neighbours (Å) after each atom.
Positions (direct):
Tb: 0.0000 0.0000 0.0000  6 Cu 2.95-2.97, 8 Zn 3.28
Tb: 0.0000 0.5000 0.5000  6 Cu 2.96-2.99, 4 Zn 3.31
Zn: 0.5000 0.0000 0.5000  4 Cu 2.55, 4 Zn 2.60
Zn: 0.5000 0.2507 0.2453  5 Cu 2.53-2.58, 3 Zn 2.57-2.60
Zn: 0.5000 0.2507 0.7547  5 Cu 2.53-2.58, 3 Zn 2.57-2.60
Zn: 0.5000 0.7493 0.2453  5 Cu 2.53-2.58, 3 Zn 2.57-2.60
Zn: 0.5000 0.7493 0.7547  5 Cu 2.53-2.58, 3 Zn 2.57-2.60
Cu: 0.0000 0.0000 0.3346  6 Zn 2.55-2.58
Cu: 0.0000 0.0000 0.6654  6 Zn 2.55-2.58
Cu: 0.0000 0.5000 0.1632  2 Cu 2.54, 4 Zn 2.56
Cu: 0.0000 0.5000 0.8368  2 Cu 2.54, 4 Zn 2.56
Cu: 0.5000 0.5000 0.0000  4 Zn 2.53, 4 Cu 2.54

Entry 7:
TbZrCu | GGA-PBE | relaxed

For the distance to the lowest polymorph of the same formula, the calculation gives 0.000 eV/atom. Its formation enthalpy at 0 K is 262 meV per atom.

abc: 4.6671 4.6671 4.6671
angles: 60.00 60.00 60.00
With the nearest neighbours (Å) after each atom.
Positions (direct):
Tb: 0.0000 0.0000 0.0000  4 Cu 2.86
Zr: 0.5000 0.5000 0.5000  4 Cu 2.86
Cu: 0.2500 0.2500 0.2500  4 Zr 2.86, 4 Tb 2.86

Entry 8:
Cu2Tc | GGA-PBE | relaxed

For the distance to the lowest polymorph of the same formula, the calculation gives 0.830 eV/atom. Its formation enthalpy at 0 K is 1031 meV per atom.

abc: 4.0494 4.0494 4.0494
angles: 60.00 60.00 60.00
With the nearest neighbours (Å) after each atom.
Positions (direct):
Cu: 0.2500 0.2500 0.2500  4 Tc 2.48
Cu: 0.7500 0.7500 0.7500  4 Tc 2.48
Tc: 0.0000 0.0000 0.0000  8 Cu 2.48

Entry 9:
ZrCuTcTe | GGA-PBE | relaxed

For the distance to the lowest polymorph of the same formula, the calculation gives 0.022 eV/atom.

abc: 4.6204 4.6204 4.6204
angles: 60.00 60.00 60.00
With the nearest neighbours (Å) after each atom.
Positions (direct):
Zr: 0.0000 0.0000 0.0000  4 Te 2.83, 4 Cu 2.83
Cu: 0.2500 0.2500 0.2500  4 Zr 2.83, 4 Tc 2.83
Tc: 0.5000 0.5000 0.5000  4 Te 2.83, 4 Cu 2.83
Te: 0.7500 0.7500 0.7500  4 Zr 2.83, 4 Tc 2.83

Entry 10:
ZrCuTcTe | GGA-PBE | relaxed

For the distance to the lowest polymorph of the same formula, the calculation gives 0.000 eV/atom.

abc: 4.6314 4.6314 4.6314
angles: 60.00 60.00 60.00
With the nearest neighbours (Å) after each atom.
Positions (direct):
Zr: 0.0000 0.0000 0.0000  4 Tc 2.84, 4 Cu 2.84
Cu: 0.2500 0.2500 0.2500  4 Te 2.84, 4 Zr 2.84
Tc: 0.7500 0.7500 0.7500  4 Zr 2.84, 4 Te 2.84
Te: 0.5000 0.5000 0.5000  4 Tc 2.84, 4 Cu 2.84

Entry 11:
ZrCuTcTe | GGA-PBE | relaxed

For the distance to the lowest polymorph of the same formula, the calculation gives 0.269 eV/atom.

abc: 4.6776 4.6776 4.6776
angles: 60.00 60.00 60.00
With the nearest neighbours (Å) after each atom.
Positions (direct):
Zr: 0.0000 0.0000 0.0000  4 Te 2.86, 4 Tc 2.86
Cu: 0.5000 0.5000 0.5000  4 Te 2.86, 4 Tc 2.86
Tc: 0.2500 0.2500 0.2500  4 Zr 2.86, 4 Cu 2.86
Te: 0.7500 0.7500 0.7500  4 Zr 2.86, 4 Cu 2.86

Entry 12:
UCuTc | GGA-PBE | relaxed

For the distance to the lowest polymorph of the same formula, the calculation gives 0.000 eV/atom. Its formation enthalpy at 0 K is 593 meV per atom.

abc: 4.2864 4.2864 4.2864
angles: 60.00 60.00 60.00
With the nearest neighbours (Å) after each atom.
Positions (direct):
U: 0.0000 0.0000 0.0000  4 Cu 2.62
Cu: 0.7500 0.7500 0.7500  4 Tc 2.62, 4 U 2.62
Tc: 0.5000 0.5000 0.5000  4 Cu 2.62

Entry 13:
UCuTc | GGA-PBE | relaxed

For the distance to the lowest polymorph of the same formula, the calculation gives 0.221 eV/atom. Its formation enthalpy at 0 K is 814 meV per atom.

abc: 4.3589 4.3589 4.3589
angles: 60.00 60.00 60.00
With the nearest neighbours (Å) after each atom.
Positions (direct):
U: 0.0000 0.0000 0.0000  4 Cu 2.67, 4 Tc 2.67
Cu: 0.7500 0.7500 0.7500  4 U 2.67
Tc: 0.2500 0.2500 0.2500  4 U 2.67

Entry 14:
ZnCuTcW | GGA-PBE | relaxed

For the distance to the lowest polymorph of the same formula, the calculation gives 0.000 eV/atom. Its formation enthalpy at 0 K is 240 meV per atom.

abc: 4.3316 4.3316 4.3316
angles: 60.00 60.00 60.00
With the nearest neighbours (Å) after each atom.
Positions (direct):
Zn: 0.0000 0.0000 0.0000  4 Tc 2.65, 4 Cu 2.65
Cu: 0.2500 0.2500 0.2500  4 W 2.65, 4 Zn 2.65
Tc: 0.7500 0.7500 0.7500  4 W 2.65, 4 Zn 2.65
W: 0.5000 0.5000 0.5000  4 Tc 2.65, 4 Cu 2.65

Entry 15:
ZrCuTcW | GGA-PBE | relaxed

For the distance to the lowest polymorph of the same formula, the calculation gives 0.000 eV/atom. Its formation enthalpy at 0 K is 63 meV per atom.

abc: 4.5113 4.5113 4.5113
angles: 60.00 60.00 60.00
With the nearest neighbours (Å) after each atom.
Positions (direct):
Zr: 0.0000 0.0000 0.0000  4 Tc 2.76, 4 Cu 2.76
Cu: 0.2500 0.2500 0.2500  4 Zr 2.76, 4 W 2.76
Tc: 0.7500 0.7500 0.7500  4 W 2.76, 4 Zr 2.76
W: 0.5000 0.5000 0.5000  4 Tc 2.76, 4 Cu 2.76

Entry 16:
ZrCuTcW | GGA-PBE | relaxed

For the distance to the lowest polymorph of the same formula, the calculation gives 0.040 eV/atom. Its formation enthalpy at 0 K is 103 meV per atom.

abc: 4.4893 4.4893 4.4893
angles: 60.00 60.00 60.00
With the nearest neighbours (Å) after each atom.
Positions (direct):
Zr: 0.0000 0.0000 0.0000  4 W 2.75, 4 Cu 2.75
Cu: 0.2500 0.2500 0.2500  4 Zr 2.75, 4 Tc 2.75
Tc: 0.5000 0.5000 0.5000  4 W 2.75, 4 Cu 2.75
W: 0.7500 0.7500 0.7500  4 Tc 2.75, 4 Zr 2.75

Entry 17:
YCu2Tc | GGA-PBE | relaxed

Its formation enthalpy at 0 K is 379 meV per atom.

abc: 4.5318 4.5318 4.5318
angles: 60.00 60.00 60.00
With the nearest neighbours (Å) after each atom.
Positions (direct):
Y: 0.0000 0.0000 0.0000  4 Tc 2.78, 4 Cu 2.78
Cu: 0.2500 0.2500 0.2500  4 Cu 2.78, 4 Y 2.78
Cu: 0.5000 0.5000 0.5000  4 Tc 2.78, 4 Cu 2.78
Tc: 0.7500 0.7500 0.7500  4 Cu 2.78, 4 Y 2.78

Entry 18:
YCuTc3 | GGA-PBE | relaxed

Its formation enthalpy at 0 K is 2544 meV per atom.

abc: 4.7930 4.7930 4.7930
angles: 90.00 90.00 90.00
With the nearest neighbours (Å) after each atom.
Positions (direct):
Y: 0.0000 0.0000 0.0000  6 Tc 2.40
Cu: 0.5000 0.5000 0.5000  12 Tc 3.39
Tc: 0.0000 0.0000 0.5000  2 Y 2.40
Tc: 0.0000 0.5000 0.0000  2 Y 2.40
Tc: 0.5000 0.0000 0.0000  2 Y 2.40

Entry 19:
Zr2CuTc | GGA-PBE | relaxed

Its formation enthalpy at 0 K is -272 meV per atom.

abc: 4.6106 4.6106 3.3240
angles: 90.00 90.00 90.00
With the nearest neighbours (Å) after each atom.
Positions (direct):
Zr: 0.0000 0.5000 0.0000  4 Tc 2.84, 4 Cu 2.84
Zr: 0.5000 0.0000 0.0000  4 Tc 2.84, 4 Cu 2.84
Cu: 0.0000 0.0000 0.5000  8 Zr 2.84
Tc: 0.5000 0.5000 0.5000  8 Zr 2.84

Entry 20:
ZrCuTc2 | GGA-PBE | relaxed

Its formation enthalpy at 0 K is 26 meV per atom.

abc: 4.4573 4.4573 4.4573
angles: 60.00 60.00 60.00
With the nearest neighbours (Å) after each atom.
Positions (direct):
Zr: 0.0000 0.0000 0.0000  4 Tc 2.73, 4 Cu 2.73
Cu: 0.2500 0.2500 0.2500  4 Zr 2.73, 4 Tc 2.73
Tc: 0.5000 0.5000 0.5000  4 Tc 2.73, 4 Cu 2.73
Tc: 0.7500 0.7500 0.7500  4 Zr 2.73, 4 Tc 2.73

Entry 21:
Zr2CuTc | GGA-PBE | relaxed

Its formation enthalpy at 0 K is -267 meV per atom.

abc: 4.6473 4.6473 4.6473
angles: 60.00 60.00 60.00
With the nearest neighbours (Å) after each atom.
Positions (direct):
Zr: 0.2500 0.2500 0.2500  4 Tc 2.85, 4 Cu 2.85
Zr: 0.7500 0.7500 0.7500  4 Tc 2.85, 4 Cu 2.85
Cu: 0.0000 0.0000 0.0000  8 Zr 2.85
Tc: 0.5000 0.5000 0.5000  8 Zr 2.85

Entry 22:
Zr2CuTc | GGA-PBE | relaxed

Its formation enthalpy at 0 K is -296 meV per atom.

abc: 3.3217 3.3217 6.4205
angles: 90.00 90.00 90.00
With the nearest neighbours (Å) after each atom.
Positions (direct):
Zr: 0.0000 0.0000 0.2452  4 Tc 2.83, 4 Cu 2.86, 1 Zr 3.15
Zr: 0.0000 0.0000 0.7548  4 Tc 2.83, 4 Cu 2.86, 1 Zr 3.15
Cu: 0.5000 0.5000 0.5000  8 Zr 2.86
Tc: 0.5000 0.5000 0.0000  8 Zr 2.83

Entry 23:
ZrCu2Tc | GGA-PBE | relaxed

Its formation enthalpy at 0 K is 196 meV per atom.

abc: 4.4381 4.4381 4.4381
angles: 60.00 60.00 60.00
With the nearest neighbours (Å) after each atom.
Positions (direct):
Zr: 0.0000 0.0000 0.0000  4 Cu 2.72, 4 Tc 2.72
Cu: 0.5000 0.5000 0.5000  4 Tc 2.72, 4 Cu 2.72
Cu: 0.7500 0.7500 0.7500  4 Cu 2.72, 4 Zr 2.72
Tc: 0.2500 0.2500 0.2500  4 Cu 2.72, 4 Zr 2.72

Entry 24:
Zr3CuTc2 | GGA-PBE | relaxed

Its formation enthalpy at 0 K is -323 meV per atom.

abc: 3.3166 3.3166 9.7325
angles: 90.00 90.00 90.00
With the nearest neighbours (Å) after each atom.
Positions (direct):
Zr: 0.0000 0.0000 0.0000  8 Tc 2.88, 2 Zr 3.20
Zr: 0.0000 0.0000 0.3291  4 Tc 2.80, 4 Cu 2.87
Zr: 0.0000 0.0000 0.6709  4 Tc 2.80, 4 Cu 2.87
Cu: 0.5000 0.5000 0.5000  8 Zr 2.87, 2 Tc 3.19
Tc: 0.5000 0.5000 0.1726  8 Zr 2.80-2.88
Tc: 0.5000 0.5000 0.8274  8 Zr 2.80-2.88

| no. | total energy (eV per atom) |
| --- | --- |
| 1 | -4.11 |
| 2 | -5.90 |
| 3 | -4.88 |
| 4 | -4.22 |
| 5 | -4.35 |
| 6 | -3.14 |
| 7 | -5.37 |
| 8 | -4.90 |
| 9 | -6.40 |
| 10 | -6.42 |
| 11 | -6.15 |
| 12 | -7.86 |
| 13 | -7.64 |
| 14 | -6.84 |
| 15 | -8.83 |
| 16 | -8.79 |
| 17 | -5.69 |
| 18 | -5.71 |
| 19 | -8.06 |
| 20 | -8.22 |
| 21 | -8.06 |
| 22 | -8.09 |
| 23 | -6.39 |
| 24 | -8.67 |